The following is a GGA-PBE calculation of a geometry-optimized CrOs2Rh structure, from Alexandria.

```
data_CrOs2Rh
_chemical_formula_sum 'Cr2 Os4 Rh2'
_space_group_name_H-M_alt 'C 1 m 1'
_space_group_IT_number 8
_space_group_name_Hall 'C -2y'
_cell_length_a 8.936
_cell_length_b 2.704
_cell_length_c 4.639
_cell_angle_alpha 90.00
_cell_angle_beta 100.45
_cell_angle_gamma 90.00
loop_
_atom_site_label
_atom_site_fract_x
_atom_site_fract_y
_atom_site_fract_z
Cr1 0.000 0.000 0.000
Os1 0.005 0.500 0.512
Os2 0.254 0.000 0.745
Rh1 0.251 0.500 0.240
```

Summary:
Calculated volume in Å³/atom: 13.778
Formation energy from the elements in eV/atom: 0.0695
Polymorph energy (0 for the lowest one) in eV per atom: 0.0337
Final energy in eV/atom: -9.79
Crystal system: monoclinic
Fermi-level density of states in states/eV/f.u.: 4.143

The following is a GGA-PBE calculation of a geometry-optimized Sr3Tm2UN6 structure, from Alexandria.

```
data_Sr3Tm2UN6
_chemical_formula_sum 'Sr6 Tm4 U2 N12'
_space_group_name_H-M_alt 'C 1 2/m 1'
_space_group_IT_number 12
_space_group_name_Hall '-C 2y'
_cell_length_a 6.089
_cell_length_b 10.547
_cell_length_c 6.327
_cell_angle_alpha 90.00
_cell_angle_beta 108.71
_cell_angle_gamma 90.00
loop_
_atom_site_label
_atom_site_fract_x
_atom_site_fract_y
_atom_site_fract_z
Sr1 0.000 0.000 0.000
Sr2 0.000 0.331 0.000
Tm1 0.000 0.167 0.500
U1 0.000 0.500 0.500
N1 0.224 0.344 0.703
N2 0.243 0.500 0.297
```

Summary:
Calculated volume in Å³/atom: 16.037
Raw formation energy in eV/atom: -1.33
Final energy in eV/atom: -7.60
Crystal system: monoclinic

The following is a GGA-PBE calculation of a geometry-optimized AcMgAu2 structure, from Alexandria.

```
data_AcMgAu2
_chemical_formula_sum 'Ac1 Mg1 Au2'
_space_group_name_H-M_alt 'P 4/m m m'
_space_group_IT_number 123
_space_group_name_Hall '-P 4 2'
_cell_length_a 3.621
_cell_length_b 3.621
_cell_length_c 7.293
_cell_angle_alpha 90.00
_cell_angle_beta 90.00
_cell_angle_gamma 90.00
loop_
_atom_site_label
_atom_site_fract_x
_atom_site_fract_y
_atom_site_fract_z
Ac1 0.000 0.000 0.000
Mg1 0.000 0.000 0.500
Au1 0.500 0.500 0.293
```

Summary:
Calculated volume in Å³/atom: 23.908
Formation energy from the elements in eV/atom: -0.6248
Final energy in eV/atom: -3.69
Crystal system: tetragonal
Fermi-level density of states in states/eV/f.u.: 1.876

The following is a GGA-PBE calculation of a geometry-optimized HoH4IrAu2 structure, from Alexandria.

```
data_HoH4IrAu2
_chemical_formula_sum 'Ho1 H4 Ir1 Au2'
_space_group_name_H-M_alt 'P 1'
_space_group_IT_number 1
_space_group_name_Hall 'P 1'
_cell_length_a 5.051
_cell_length_b 5.055
_cell_length_c 5.161
_cell_angle_alpha 114.43
_cell_angle_beta 93.22
_cell_angle_gamma 119.88
loop_
_atom_site_label
_atom_site_fract_x
_atom_site_fract_y
_atom_site_fract_z
Ho1 0.000 0.000 0.000
H1 0.029 0.505 0.872
H2 0.193 0.571 0.357
H3 0.498 0.926 0.926
H4 0.760 0.941 0.384
Ir1 0.380 0.757 0.148
Au1 0.396 0.267 0.643
Au2 0.763 0.515 0.289
```

Summary:
Calculated volume in Å³/atom: 12.266
Final energy in eV/atom: -4.47
Crystal system: triclinic
Fermi-level density of states in states/eV/f.u.: 0.553

The following is a GGA-PBE calculation of a geometry-optimized As2WBr structure, from Alexandria.

```
data_As2WBr
_chemical_formula_sum 'As4 W2 Br2'
_space_group_name_H-M_alt 'C 1 m 1'
_space_group_IT_number 8
_space_group_name_Hall 'C -2y'
_cell_length_a 9.028
_cell_length_b 3.380
_cell_length_c 7.218
_cell_angle_alpha 90.00
_cell_angle_beta 104.64
_cell_angle_gamma 90.00
loop_
_atom_site_label
_atom_site_fract_x
_atom_site_fract_y
_atom_site_fract_z
As1 0.000 0.000 0.000
As2 0.154 0.000 0.750
W1 0.212 0.500 0.027
Br1 0.343 0.000 0.310
```

Summary:
Calculated volume in Å³/atom: 26.637
Raw formation energy in eV/atom: 0.08
Polymorph energy (0 for the lowest one) in eV per atom: 0.0000
Final energy in eV/atom: -5.90
Crystal system: monoclinic
Fermi-level density of states in states/eV/f.u.: 1.928

The following is a GGA-PBE calculation of a geometry-optimized DySc4Ag5 structure, from Alexandria.

```
data_DySc4Ag5
_chemical_formula_sum 'Dy1 Sc4 Ag5'
_space_group_name_H-M_alt 'P 4/m m m'
_space_group_IT_number 123
_space_group_name_Hall '-P 4 2'
_cell_length_a 3.449
_cell_length_b 3.449
_cell_length_c 17.631
_cell_angle_alpha 90.00
_cell_angle_beta 90.00
_cell_angle_gamma 90.00
loop_
_atom_site_label
_atom_site_fract_x
_atom_site_fract_y
_atom_site_fract_z
Dy1 0.000 0.000 0.000
Sc1 0.000 0.000 0.207
Sc2 0.000 0.000 0.403
Ag1 0.500 0.500 0.113
Ag2 0.500 0.500 0.305
Ag3 0.500 0.500 0.500
```

Summary:
Calculated volume in Å³/atom: 20.968
Formation energy from the elements in eV/atom: -0.2800
Final energy in eV/atom: -4.70
Crystal system: tetragonal
Fermi-level density of states in states/eV/f.u.: 5.466

The following is a GGA-PBE calculation of a geometry-optimized Cs4Ho3TiSe8 structure, from Alexandria.

```
data_Cs4Ho3TiSe8
_chemical_formula_sum 'Cs12 Ho9 Ti3 Se24'
_space_group_name_H-M_alt 'R -3 m'
_space_group_IT_number 166
_space_group_name_Hall '-R 3 2"'
_cell_length_a 8.3528
_cell_length_b 8.3528
_cell_length_c 25.0012
_cell_angle_alpha 90.00
_cell_angle_beta 90.00
_cell_angle_gamma 120.00
loop_
_atom_site_label
_atom_site_fract_x
_atom_site_fract_y
_atom_site_fract_z
Cs1 0.0000 0.0000 0.0000
Cs2 0.0000 0.5000 0.0000
Ho1 0.0000 0.5000 0.5000
Ti1 0.0000 0.0000 0.5000
Se1 0.0000 0.0000 0.2289
Se2 0.0165 0.5082 0.2265
```

Summary:
Calculated volume in Å³/atom: 31.473
Raw formation energy in eV/atom: -1.55
Final energy in eV/atom: -4.85
Crystal system: trigonal
Fermi-level density of states in states/eV/f.u.: 5.609

The following is a GGA-PBE calculation of a geometry-optimized KTaW2 structure, from Alexandria.

```
data_KTaW2
_chemical_formula_sum 'K1 Ta1 W2'
_space_group_name_H-M_alt 'P 1 2/m 1'
_space_group_IT_number 10
_space_group_name_Hall '-P 2y'
_cell_length_a 2.765
_cell_length_b 4.616
_cell_length_c 7.712
_cell_angle_alpha 90.00
_cell_angle_beta 97.49
_cell_angle_gamma 90.00
loop_
_atom_site_label
_atom_site_fract_x
_atom_site_fract_y
_atom_site_fract_z
K1 0.000 0.000 0.000
Ta1 0.500 0.000 0.500
W1 0.167 0.500 0.652
```

Summary:
Calculated volume in Å³/atom: 24.401
Formation energy from the elements in eV/atom: 0.9474
Polymorph energy (0 for the lowest one) in eV per atom: 0.2236
Final energy in eV/atom: -8.77
Crystal system: monoclinic
Fermi-level density of states in states/eV/f.u.: 3.210